1.
Entry from Alexandria via LeMat-Bulk: Ca2AlI after structural relaxation (GGA-PBE).

Values from the calculation:
formation energy (no corrections)	-291.2	meV per atom
SG	Fm-3m
energy relative to the lowest polymorph listed for this composition	296	meV per atom

abc: 5.552 5.552 5.552
angles: 60.00 60.00 60.00
Positions (direct):
Ca1 0.250 0.250 0.250
Ca2 0.750 0.750 0.750
Al1 0.000 0.000 0.000
I1 0.500 0.500 0.500

2.
Entry from Alexandria via LeMat-Bulk: KGaPS2 after structural relaxation (GGA-PBE).

Values from the calculation:
formation energy (no corrections)	32.4	meV per atom
SG	P4/mmm
energy relative to the lowest polymorph listed for this composition	0	meV per atom

abc: 4.983 4.983 4.739
angles: 90.00 90.00 90.00
Positions (direct):
K1 0.000 0.000 0.000
Ga1 0.500 0.500 0.500
P1 0.500 0.500 0.000
S1 0.000 0.500 0.500
S2 0.500 0.000 0.500

3.
Entry from Alexandria via LeMat-Bulk: PmCdPd after structural relaxation (GGA-PBE).

Values from the calculation:
SG	Pmma
formation enthalpy at 0 K	-2.0	eV per formula unit
energy relative to the lowest polymorph listed for this composition	0	meV per atom

abc: 13.497 3.972 7.799
angles: 90.00 90.00 90.00
Positions (direct):
Pm1 0.047 0.000 0.234
Pm2 0.250 0.000 0.840
Pm3 0.453 0.000 0.234
Pm4 0.547 0.000 0.766
Pm5 0.750 0.000 0.160
Pm6 0.953 0.000 0.766
Cd1 0.114 0.500 0.566
Cd2 0.250 0.500 0.195
Cd3 0.386 0.500 0.566
Cd4 0.614 0.500 0.434
Cd5 0.750 0.500 0.805
Cd6 0.886 0.500 0.434
Pd1 0.097 0.500 0.938
Pd2 0.250 0.000 0.449
Pd3 0.403 0.500 0.938
Pd4 0.597 0.500 0.062
Pd5 0.750 0.000 0.551
Pd6 0.903 0.500 0.062

4.
Entry from Alexandria via LeMat-Bulk: Pm3HoO6 after structural relaxation (GGA-PBE).

Values from the calculation:
formation energy (no corrections)	-3379.8	meV per atom
SG	P2_1/c
energy relative to the lowest polymorph listed for this composition	86	meV per atom

abc: 5.836 6.089 10.440
angles: 90.00 123.73 90.00
Positions (direct):
Pm1 0.000 0.000 0.000
Pm2 0.000 0.500 0.500
Pm3 0.270 0.051 0.748
Pm4 0.270 0.449 0.248
Pm5 0.730 0.551 0.752
Pm6 0.730 0.949 0.252
Ho1 0.500 0.000 0.500
Ho2 0.500 0.500 0.000
O1 0.108 0.078 0.256
O2 0.108 0.422 0.756
O3 0.271 0.687 0.077
O4 0.271 0.813 0.577
O5 0.399 0.197 0.083
O6 0.399 0.303 0.583
O7 0.601 0.697 0.417
O8 0.601 0.803 0.917
O9 0.729 0.187 0.423
O10 0.729 0.313 0.923
O11 0.892 0.578 0.244
O12 0.892 0.922 0.744

5.
Entry from Alexandria via LeMat-Bulk: Pu3InRu4 after structural relaxation (GGA-PBE).

Values from the calculation:
SG	C2/m
formation enthalpy at 0 K	-1.2	eV per formula unit

abc: 4.718 4.718 7.490
angles: 108.29 108.29 90.00
Positions (direct):
Pu1 0.000 0.000 0.000
Pu2 0.255 0.255 0.510
Pu3 0.745 0.745 0.490
In1 0.500 0.500 0.000
Ru1 0.126 0.627 0.253
Ru2 0.373 0.874 0.747
Ru3 0.627 0.126 0.253
Ru4 0.874 0.373 0.747

6.
Entry from Alexandria via LeMat-Bulk: Pr3YCo2 after structural relaxation (GGA-PBE).

Values from the calculation:
SG	C2/m
formation enthalpy at 0 K	-0.4	eV per formula unit

abc: 8.742 8.742 12.059
angles: 123.70 123.70 25.29
Positions (direct):
Pr1 0.083 0.083 0.448
Pr2 0.084 0.084 0.938
Pr3 0.340 0.340 0.749
Pr4 0.660 0.660 0.251
Pr5 0.916 0.916 0.062
Pr6 0.917 0.917 0.552
Y1 0.337 0.337 0.246
Y2 0.663 0.663 0.754
Co1 0.265 0.265 0.452
Co2 0.267 0.267 0.959
Co3 0.733 0.733 0.041
Co4 0.735 0.735 0.548

| no. | E (eV per atom) | magnetic moment (μB/f.u.) |
| --- | --- | --- |
| 1 | -2.62 | 0.00 |
| 2 | -3.53 | 0.81 |
| 3 | -4.27 | 0.00 |
| 4 | -8.24 | 0.00 |
| 5 | -10.50 | 12.54 |
| 6 | -5.90 | 0.14 |